Record 1
Entry from Alexandria via LeMat-Bulk: a relaxed Ti4H5 crystal (GGA-PBE).

```
Ti4H5
1.0
-3.161 -2.756 0.467
2.300 -2.965 -1.931
1.710 -1.282 4.005
H Ti
5 4
Cartesian
-0.725 -2.019 2.236
1.150 -1.483 -0.966
2.005 -2.124 1.037
-1.581 -1.378 0.234
0.000 0.000 0.000
-1.323 -3.136 0.867
1.055 -2.428 2.612
0.636 -5.208 1.901
1.330 -3.237 -0.298
```

Results
Distance to the lowest polymorph of the same formula in meV per atom: 0

---

Record 2
Entry from Alexandria via LeMat-Bulk: a relaxed Ti8H crystal (GGA-PBE).

```
Ti8H
1.0
5.884 0.000 0.000
-2.942 5.096 0.000
0.000 0.000 4.656
Ti H
8 1
Cartesian
0.032 5.077 4.638
1.471 2.585 4.638
-1.471 2.548 0.008
1.471 4.246 2.320
2.974 1.717 2.345
-1.471 4.209 2.345
2.910 5.077 4.638
-0.032 1.717 2.345
1.471 0.849 1.164
```

---

Record 3
Entry from Alexandria via LeMat-Bulk: a relaxed TiH4 crystal (GGA-PBE).

```
TiH4
1.0
-1.352 -2.024 2.482
3.021 0.087 1.716
-1.061 2.825 1.726
Ti H
1 4
Cartesian
0.304 0.444 2.962
-1.206 0.400 2.104
0.000 0.000 0.000
0.980 1.456 1.721
0.835 -0.969 2.099
```

---

Record 4
Entry from Alexandria via LeMat-Bulk: a relaxed Ti3TlH crystal (GGA-PBE).

```
Ti3TlH
1.0
17.503 0.000 -2.211
0.000 5.650 0.000
-6.343 0.000 3.927
Ti Tl H
12 4 4
Cartesian
2.536 4.237 2.773
1.516 4.239 0.126
11.541 0.000 -0.676
11.541 2.825 -0.678
8.623 1.412 -1.058
7.096 4.235 0.984
-0.382 2.824 2.393
14.203 1.412 -0.200
-0.381 5.649 2.391
9.643 1.410 1.589
-3.043 4.237 1.915
4.063 1.415 0.731
4.352 4.239 0.611
9.931 4.235 1.469
1.228 1.414 0.246
6.808 1.410 1.104
12.768 4.238 -1.169
-1.608 1.412 2.885
10.315 1.413 -0.184
0.845 4.237 1.900
```

---

Record 5
Entry from Alexandria via LeMat-Bulk: a relaxed Ti3TlH crystal (GGA-PBE).

```
Ti3TlH
1.0
4.188 -3.535 0.000
4.188 3.535 0.000
0.000 0.000 5.263
Tl H Ti
2 2 6
Cartesian
4.188 -1.049 3.947
4.188 1.049 1.316
4.188 -2.130 1.316
4.188 2.130 3.947
5.876 -1.178 1.316
2.501 1.178 3.947
5.876 1.178 3.947
0.000 0.000 2.632
0.000 0.000 0.000
2.501 -1.178 1.316
```

---

Record 6
Entry from Alexandria via LeMat-Bulk: a relaxed Ti3TlH crystal (GGA-PBE).

```
Ti3TlH
1.0
-2.874 -0.914 3.823
-0.100 -5.459 1.711
4.091 3.089 3.812
H Ti Tl
2 6 2
Cartesian
0.830 -2.446 2.015
0.698 0.347 2.627
1.057 -1.297 3.447
-1.219 -2.579 4.377
1.160 -4.042 2.859
3.139 0.390 5.384
0.769 -3.882 5.735
-1.184 -5.340 3.931
3.354 -2.604 4.877
0.650 -0.946 6.270
```

---

Record 7
Entry from Alexandria via LeMat-Bulk: a relaxed Ti3TlH crystal (GGA-PBE).

```
Ti3TlH
1.0
5.624 0.000 0.000
0.000 5.624 0.000
2.812 2.812 5.072
H Tl Ti
2 2 6
Cartesian
0.000 0.000 0.000
2.812 5.624 2.536
5.624 2.812 1.075
5.624 2.812 3.997
2.812 4.221 3.667
2.812 2.812 1.335
2.812 7.027 3.667
1.409 5.624 1.405
5.624 5.624 3.738
4.215 5.624 1.405
```

---

Record 8
Entry from Alexandria via LeMat-Bulk: a relaxed Ti3TlH crystal (GGA-PBE).

```
Ti3TlH
1.0
-5.134 -3.135 -8.635
2.118 1.940 -7.091
7.617 -0.238 0.686
Tl Ti H
4 12 4
Cartesian
3.468 0.881 -3.884
1.133 -2.314 -11.157
4.943 -1.550 -5.164
-0.343 0.117 -9.877
4.599 -0.158 -10.552
-0.193 -1.349 -7.310
8.415 1.324 -6.919
2.188 -0.589 -6.064
6.033 1.211 -5.489
-3.814 -2.757 -8.121
2.412 -0.844 -8.977
-1.432 -2.645 -9.552
0.002 -1.275 -4.489
3.346 -1.456 -12.786
1.254 0.023 -2.255
4.793 -0.084 -7.731
2.810 0.717 -7.701
4.286 -1.714 -8.982
1.791 -2.150 -7.340
0.314 0.280 -6.059
```

---

Record 9
Entry from Alexandria via LeMat-Bulk: a relaxed Ti3TlH crystal (GGA-PBE).

```
Ti3TlH
1.0
-1.696 4.540 0.547
-4.564 -1.316 -3.235
-2.630 -1.605 4.364
Ti Tl H
6 2 2
Cartesian
-3.927 2.541 -0.602
-6.205 1.884 -2.217
-2.686 -0.266 3.893
-2.478 0.220 0.854
-6.413 1.399 0.822
-4.964 -0.922 2.279
-4.109 2.057 2.408
-4.782 -0.438 -0.732
-2.093 1.677 -0.281
-6.798 -0.058 1.958
```

---

Record 10
Entry from Alexandria via LeMat-Bulk: a relaxed Ti2TlH2 crystal (GGA-PBE).

```
Ti2TlH2
1.0
3.568 0.000 0.000
0.000 3.568 0.000
1.784 1.784 4.726
Tl H Ti
1 2 2
Cartesian
0.000 0.000 0.000
1.784 3.568 2.363
3.568 1.784 2.363
1.784 1.784 1.646
3.568 3.568 3.081
```

---

Record 11
Entry from Alexandria via LeMat-Bulk: a relaxed Ti3TlH crystal (GGA-PBE).

```
Ti3TlH
1.0
-0.439 -4.692 1.050
4.189 -0.871 -2.223
3.162 0.954 5.586
Tl H Ti
2 2 6
Cartesian
3.729 -0.964 4.032
5.603 -3.746 3.446
2.760 -2.930 0.372
0.673 -2.492 1.497
1.195 -4.030 0.479
4.032 -4.293 0.701
2.684 -3.560 3.100
3.513 -2.075 -1.168
4.998 -1.649 1.463
2.172 -1.360 1.253
```

---

Record 12
Entry from Alexandria via LeMat-Bulk: a relaxed Ti3TlH crystal (GGA-PBE).

```
Ti3TlH
1.0
-0.251 -0.740 -5.407
6.430 -3.964 0.244
-3.951 -6.344 1.051
Ti H Tl
12 4 4
Cartesian
3.644 -5.118 -3.603
0.175 -8.637 -4.347
-1.416 -5.930 -0.510
3.167 -7.934 -1.822
2.053 -2.411 0.234
-1.547 -6.309 -3.212
1.245 -6.749 -1.894
2.097 -9.822 -4.274
0.131 -1.226 0.161
0.983 -4.298 -2.218
3.775 -4.738 -0.901
-0.939 -3.113 -2.291
3.006 -6.057 -2.061
-2.060 -6.880 1.026
4.288 -4.167 -5.139
-0.778 -4.990 -2.052
1.240 -5.154 0.647
3.089 -2.352 -2.582
-1.975 -3.172 0.526
-0.126 -0.370 -2.704
```

---

The records above give, respectively, density values of 4035; 4567; 2052; 7501; 7436; 7603; 7225; 7534; 7741; 8337; 7673; 7439 kg/m³.
The records above give, respectively, total energy values of -52.07; -66.94; -18.93; -118.08; -59.01; -59.93; -57.77; -118.56; -59.83; -26.22; -59.97; -115.56 eV/cell.